No. 1
A geometry-optimized ZrMnAl2S structure. Source: the Alexandria database, functional PBE-GGA.

Values from the calculation:
- D(E_F): 5.2 states/eV per cell
- Density: 3.04 g/cm³
- Crystal system: tetragonal
- E_tot: -4.47 eV per atom

Unit cell a=5.3490 b=4.4301 c=5.3490 alpha=90.00 beta=90.00 gamma=90.00
Atoms (fractional coordinates):
S 0.5000 0.5000 0.5000
Mn 0.0000 0.5000 0.0000
Al 0.0000 0.0000 0.5000
Al 0.5000 0.0000 0.0000
Zr 0.0000 0.0000 0.0000



No. 2
A geometry-optimized MnAlSb2 structure. Source: the Alexandria database, functional PBE-GGA.

Values from the calculation:
- D(E_F): 2.4 states/eV per cell
- Density: 6.34 g/cm³
- Crystal system: orthorhombic
- E_tot: -5.06 eV per atom

Unit cell a=3.0707 b=3.6375 c=7.6278 alpha=90.00 beta=90.00 gamma=90.00
Atoms (fractional coordinates):
Sb 0.0000 0.0000 0.9708
Sb 0.0000 0.0000 0.5292
Mn 0.5000 0.5000 0.7500
Al 0.5000 0.5000 0.2500



No. 3
A geometry-optimized Mn2Al2Sb structure. Source: the Alexandria database, functional PBE-GGA.

Values from the calculation:
- D(E_F): 5.7 states/eV per cell
- Density: 5.88 g/cm³
- Crystal system: tetragonal
- E_tot: -5.93 eV per atom

Unit cell a=6.6628 b=6.6628 c=3.6363 alpha=90.00 beta=90.00 gamma=90.00
Atoms (fractional coordinates):
Sb 0.0000 0.0000 0.0000
Sb 0.5000 0.5000 0.0000
Mn 0.3609 0.8609 0.0000
Mn 0.8609 0.6391 0.0000
Mn 0.6391 0.1391 0.0000
Mn 0.1391 0.3609 0.0000
Al 0.1495 0.6495 0.5000
Al 0.6495 0.8505 0.5000
Al 0.8505 0.3505 0.5000
Al 0.3505 0.1495 0.5000



No. 4
A geometry-optimized MnAlSb2 structure. Source: the Alexandria database, functional PBE-GGA.

Values from the calculation:
- D(E_F): 3.4 states/eV per cell
- Density: 6.04 g/cm³
- Crystal system: cubic
- E_tot: -4.81 eV per atom

Unit cell a=5.0192 b=5.0192 c=5.0192 alpha=60.00 beta=60.00 gamma=60.00
Atoms (fractional coordinates):
Sb 0.0000 0.0000 0.0000
Sb 0.2500 0.2500 0.2500
Mn 0.7500 0.7500 0.7500
Al 0.5000 0.5000 0.5000



No. 5
A geometry-optimized Mn2AlSb2 structure. Source: the Alexandria database, functional PBE-GGA.

Values from the calculation:
- D(E_F): 13.2 states/eV per cell
- Density: 7.57 g/cm³
- Crystal system: tetragonal
- E_tot: -5.75 eV per atom

Unit cell a=6.6962 b=6.6962 c=3.7199 alpha=90.00 beta=90.00 gamma=90.00
Atoms (fractional coordinates):
Sb 0.1634 0.6634 0.5000
Sb 0.6634 0.8366 0.5000
Sb 0.8366 0.3366 0.5000
Sb 0.3366 0.1634 0.5000
Mn 0.3634 0.8634 0.0000
Mn 0.8634 0.6366 0.0000
Mn 0.6366 0.1366 0.0000
Mn 0.1366 0.3634 0.0000
Al 0.0000 0.0000 0.0000
Al 0.5000 0.5000 0.0000



No. 6
A geometry-optimized MnAlSb2 structure. Source: the Alexandria database, functional PBE-GGA.

Values from the calculation:
- D(E_F): 2.2 states/eV per cell
- Density: 6.05 g/cm³
- Crystal system: trigonal
- E_tot: -5.07 eV per atom

Unit cell a=10.3078 b=10.3078 c=10.3078 alpha=17.79 beta=17.79 gamma=17.79
Atoms (fractional coordinates):
Sb 0.0232 0.0232 0.0232
Sb 0.2306 0.2306 0.2306
Mn 0.7582 0.7582 0.7582
Al 0.4880 0.4880 0.4880



No. 7
A geometry-optimized MnAlSb2 structure. Source: the Alexandria database, functional PBE-GGA.

Values from the calculation:
- D(E_F): 3.5 states/eV per cell
- Density: 6.69 g/cm³
- Crystal system: tetragonal
- E_tot: -5.19 eV per atom

Unit cell a=3.1775 b=3.1775 c=8.0001 alpha=90.00 beta=90.00 gamma=90.00
Atoms (fractional coordinates):
Sb 0.0000 0.0000 0.9122
Sb 0.5000 0.5000 0.3215
Mn 0.5000 0.5000 0.7031
Al 0.0000 0.0000 0.5632



No. 8
A geometry-optimized MnAlSb2 structure. Source: the Alexandria database, functional PBE-GGA.

Values from the calculation:
- D(E_F): 1.7 states/eV per cell
- Density: 6.55 g/cm³
- Crystal system: monoclinic
- E_tot: -5.22 eV per atom

Unit cell a=4.0288 b=3.9297 c=5.5902 alpha=68.88 beta=90.00 gamma=90.00
Atoms (fractional coordinates):
Sb 0.0000 0.9777 0.9215
Sb 0.5000 0.2644 0.3431
Mn 0.5000 0.5511 0.7775
Al 0.0000 0.7068 0.4578



No. 9
A geometry-optimized MnAlSb2 structure. Source: the Alexandria database, functional PBE-GGA.

Values from the calculation:
- D(E_F): 2.4 states/eV per cell
- Density: 6.24 g/cm³
- Crystal system: orthorhombic
- E_tot: -5.00 eV per atom

Unit cell a=5.2609 b=5.2609 c=5.2609 alpha=135.43 beta=119.09 gamma=78.54
Atoms (fractional coordinates):
Sb 0.0004 0.0004 0.0000
Sb 0.4996 0.4996 0.0000
Mn 0.2500 0.7500 0.5000
Al 0.7500 0.2500 0.5000



No. 10
A geometry-optimized MnAlSb2 structure. Source: the Alexandria database, functional PBE-GGA.

Values from the calculation:
- D(E_F): 2.2 states/eV per cell
- Density: 6.00 g/cm³
- Crystal system: monoclinic
- E_tot: -5.04 eV per atom

Unit cell a=3.8687 b=4.1145 c=6.0308 alpha=69.85 beta=90.00 gamma=90.00
Atoms (fractional coordinates):
Sb 0.0000 0.9860 0.9877
Sb 0.0000 0.5140 0.5123
Mn 0.5000 0.7500 0.7500
Al 0.5000 0.2500 0.2500



No. 11
A geometry-optimized MnAlSb2 structure. Source: the Alexandria database, functional PBE-GGA.

Values from the calculation:
- D(E_F): 2.0 states/eV per cell
- Density: 6.29 g/cm³
- Crystal system: orthorhombic
- E_tot: -5.04 eV per atom

Unit cell a=3.2685 b=3.2685 c=8.1936 alpha=90.00 beta=90.00 gamma=100.79
Atoms (fractional coordinates):
Sb 0.0000 0.0000 0.9736
Sb 0.0000 0.0000 0.5264
Mn 0.5000 0.5000 0.7500
Al 0.5000 0.5000 0.2500



No. 12
A geometry-optimized MnAlSb2 structure. Source: the Alexandria database, functional PBE-GGA.

Values from the calculation:
- D(E_F): 3.1 states/eV per cell
- Density: 6.42 g/cm³
- Crystal system: monoclinic
- E_tot: -5.05 eV per atom

Unit cell a=5.6853 b=5.6853 c=5.2748 alpha=72.77 beta=72.77 gamma=31.26
Atoms (fractional coordinates):
Sb 0.9694 0.9694 0.0681
Sb 0.7746 0.7746 0.6959
Mn 0.2202 0.2202 0.2050
Al 0.5358 0.5358 0.5310